SiAuI2N at its PBEsol-relaxed geometry. Source: Alexandria via LeMat-Bulk, functional meta-GGA SCAN.

Summary:
formation energy without anion corrections	0.4253	eV/atom
total magnetization	0.000	Bohr magnetons per cell
symmetry	No. 123

POSCAR file:
```
SiAuI2N
1.0
5.7023 0.0000 0.0000
0.0000 5.7023 0.0000
0.0000 0.0000 3.2782
Si Au I N
1 1 2 1
Cartesian
0.0000 0.0000 0.0000 Si
2.8512 2.8512 1.6391 Au
0.0000 2.8512 0.0000 I
2.8512 0.0000 0.0000 I
0.0000 0.0000 1.6391 N
```


SnAuIN2 at its PBEsol-relaxed geometry. Source: Alexandria via LeMat-Bulk, functional meta-GGA SCAN.

Summary:
formation energy without anion corrections	1.2891	eV/atom
total magnetization	2.044	Bohr magnetons per cell
symmetry	No. 123

POSCAR file:
```
SnAuIN2
1.0
4.0024 0.0000 0.0000
0.0000 4.0024 0.0000
0.0000 0.0000 6.8742
Sn Au I N
1 1 1 2
Cartesian
0.0000 0.0000 0.0000 Sn
2.0012 2.0012 3.4371 Au
0.0000 0.0000 3.4371 I
0.0000 2.0012 0.0000 N
2.0012 0.0000 0.0000 N
```


Question: The lowest total magnetization belongs to which entry?
Answer: SiAuI2N